{
  "formula": "Dy2Ni3Ge5",
  "functional": "GGA-PBE",
  "state": "relaxed",
  "de_polymorph_mev_per_atom": 0.0,
  "magmom_total_mub_per_cell": 0.002,
  "vol_a3_per_cell": 333.4,
  "lattice": [[-4.885, 5.790, 2.947], [4.885, -5.790, 2.947], [4.885, 5.790, -2.947]],
  "species": ["Dy", "Dy", "Dy", "Dy", "Ni", "Ni", "Ni", "Ni", "Ni", "Ni", "Ge", "Ge", "Ge", "Ge", "Ge", "Ge", "Ge", "Ge", "Ge", "Ge"],
  "fractional_positions": [[0.136, 0.233, 0.369], [0.364, 0.733, 0.098], [0.636, 0.267, 0.902], [0.864, 0.767, 0.631], [0.138, 0.891, 0.029], [0.250, 0.750, 0.500], [0.362, 0.391, 0.754], [0.638, 0.609, 0.246], [0.750, 0.250, 0.500], [0.862, 0.109, 0.971], [0.021, 0.750, 0.271], [0.098, 0.660, 0.758], [0.250, 0.250, 0.000], [0.402, 0.160, 0.562], [0.479, 0.750, 0.729], [0.521, 0.250, 0.271], [0.598, 0.840, 0.438], [0.750, 0.750, 0.000], [0.902, 0.340, 0.242], [0.979, 0.250, 0.729]]
}

---

{
  "formula": "DyNi2Ge",
  "functional": "GGA-PBE",
  "state": "relaxed",
  "magmom_total_mub_per_cell": 0.004,
  "vol_a3_per_cell": 133.9,
  "final_energy_ev_per_atom": -5.671,
  "lattice": [[5.169, 0.000, 0.000], [0.000, 4.095, 0.000], [-1.950, 0.000, 6.326]],
  "species": ["Dy", "Dy", "Ni", "Ni", "Ni", "Ni", "Ge", "Ge"],
  "fractional_positions": [[0.247, 0.250, 0.249], [0.753, 0.750, 0.751], [0.153, 0.750, 0.548], [0.345, 0.750, 0.950], [0.655, 0.250, 0.050], [0.847, 0.250, 0.452], [0.258, 0.250, 0.746], [0.742, 0.750, 0.254]]
}

---

{
  "formula": "Dy4Ni2Ge5",
  "functional": "GGA-PBE",
  "state": "relaxed",
  "magmom_total_mub_per_cell": 0.002,
  "vol_a3_per_cell": 215.6,
  "final_energy_ev_per_atom": -5.559,
  "lattice": [[7.671, -2.114, 0.000], [7.671, 2.114, 0.000], [-2.207, 0.000, 6.645]],
  "species": ["Dy", "Dy", "Dy", "Dy", "Ni", "Ni", "Ge", "Ge", "Ge", "Ge", "Ge"],
  "fractional_positions": [[0.088, 0.088, 0.382], [0.152, 0.152, 0.941], [0.848, 0.848, 0.059], [0.912, 0.912, 0.618], [0.283, 0.283, 0.360], [0.717, 0.717, 0.640], [0.294, 0.294, 0.728], [0.435, 0.435, 0.337], [0.500, 0.500, 0.000], [0.565, 0.565, 0.663], [0.706, 0.706, 0.272]]
}